The following is a DFT calculation (PBE+U) of a relaxed Li2FeF4 crystal.

abc: 5.7941 5.7941 5.7917
angles: 112.52 112.96 103.14
Fractional positions:
1 Li 0.6250 0.3751 0.7501
2 Li 0.6250 0.8749 0.2499
3 Li 0.6251 0.3750 0.2501
4 Li 0.1250 0.3750 0.7499
5 Fe 0.2574 0.7573 0.5000
6 Fe 0.9928 0.9928 0.0000
7 F 0.8982 0.1903 0.2919
8 F 0.3518 0.5596 0.2081
9 F 0.8984 0.6063 0.7081
10 F 0.8074 0.0982 0.7096
11 F 0.3887 0.0978 0.2904
12 F 0.3515 0.1437 0.7919
13 F 0.4425 0.6517 0.7904
14 F 0.8613 0.6521 0.2096

Computed properties:
**Volume**: 10.59 A^3/atom
**E**: -5.117 eV/atom
**Energy above the most stable polymorph in this dataset**: 35 meV/atom